VASP calculation (GGA-PBE) on a relaxed structure of LiMnCl2.

Cell lengths 4.989, 4.989, 3.612 Å; angles 90.24, 90.24, 89.98 degrees
Element x y z (fractional)
Li  0.000  0.000  0.000
Mn  0.500  0.500  0.000
Cl  0.000  0.500  0.000
Cl  0.500  0.000  0.000

Results
- DFT total energy: -4.49 eV per atom
- Space group: C2/m, No. 12
- ΔE_f (raw): -0.798 eV per atom